1.
The following is a DFT calculation (PBE-GGA) of a geometry-optimized S3OF structure.

a = 4.1440 Å, b = 4.1440 Å, c = 4.1440 Å
α = 90.00°, β = 90.00°, γ = 90.00°
Fractional coordinates of all 5 atoms:
S  0.5000  0.0000  0.0000
S  0.0000  0.5000  0.0000
S  0.0000  0.0000  0.5000
O  0.0000  0.0000  0.0000
F  0.5000  0.5000  0.5000

Properties
Calculated volume, Å³/cell: 71.2
SG: Pm-3m (221)
Electronic total energy, eV per atom: -2.858
Relative energy among the computed polymorphs, meV per atom: 0
ΔE_f (raw), eV/atom: 0.98

=====

2.
The following is a DFT calculation (PBE-GGA) of a geometry-optimized Tb3TiIn3S8 structure.

a = 7.7871 Å, b = 7.7866 Å, c = 8.6942 Å
α = 116.60°, β = 90.00°, γ = 120.00°
Fractional coordinates of all 15 atoms:
S  0.7613  0.9777  0.6940
S  0.2645  0.5290  0.2936
Tb  0.5000  0.0000  0.5000
S  0.2387  0.0223  0.3060
Tb  0.0000  0.5000  0.5000
In  0.0000  0.0000  0.0000
S  0.2163  0.4326  0.6940
Tb  0.5000  0.5000  0.5000
S  0.7355  0.4710  0.7064
S  0.7837  0.5674  0.3060
S  0.2163  0.9776  0.6940
In  0.0000  0.5000  0.0000
S  0.7837  0.0224  0.3060
In  0.5000  0.5000  0.0000
Ti  0.0000  0.0000  0.5000

Properties
Calculated volume, Å³/cell: 390.7
SG: R-3m (166)
Electronic total energy, eV per atom: -5.565
ΔE_f (raw), eV/atom: -1.36

=====

3.
The following is a DFT calculation (PBE-GGA) of a geometry-optimized BaAc3H structure.

a = 5.7099 Å, b = 5.7099 Å, c = 5.7099 Å
α = 90.00°, β = 90.00°, γ = 90.00°
Fractional coordinates of all 5 atoms:
Ac  0.0000  0.5000  0.0000
Ac  0.0000  0.0000  0.5000
Ba  0.5000  0.5000  0.5000
H  0.0000  0.0000  0.0000
Ac  0.5000  0.0000  0.0000

Properties
Calculated volume, Å³/cell: 186.2
SG: Pm-3m (221)
Electronic total energy, eV per atom: -3.598